9
Lattice="-3.118 3.118 7.595 3.118 -3.118 7.595 3.118 3.118 -7.595" Properties=species:S:1:pos:R:3 comment="PmHo6In2 (PBE-GGA, relaxed)" de_polymorph_mev_per_atom=508 space_group="I-42m, No. 121" pbc="T T T"
Pm 0.000 0.000 0.000
Ho 1.108 -1.108 6.280
Ho 3.118 0.000 3.798
Ho 2.010 2.010 1.315
Ho -1.108 1.108 6.280
Ho 0.000 3.118 3.798
Ho 1.108 1.108 8.910
In 0.000 0.000 3.271
In 0.000 0.000 11.919

---

12
Lattice="3.553 0.000 0.000 -1.776 3.077 0.000 0.000 0.000 25.959" Properties=species:S:1:pos:R:3 comment="Dy2MgC (PBE-GGA, relaxed)" e_tot_ev_per_atom=-5.213 space_group="R-3m, No. 166" pbc="T T T"
Dy 0.000 0.000 5.685
Dy 0.000 0.000 20.274
Dy 0.000 2.051 11.621
Dy 0.000 2.051 22.992
Dy 1.776 1.026 2.968
Dy 1.776 1.026 14.339
Mg 0.000 0.000 0.000
Mg 0.000 2.051 17.306
Mg 1.776 1.026 8.653
C 0.000 0.000 12.980
C 0.000 2.051 4.327
C 1.776 1.026 21.633

---

4
Lattice="3.987 0.000 0.000 0.000 3.987 0.000 0.000 0.000 6.240" Properties=species:S:1:pos:R:3 comment="Pu2InAu (PBE-GGA, relaxed)" e_tot_ev_per_atom=-8.925 space_group="P4/mmm, No. 123" pbc="T T T"
Pu 0.000 0.000 1.486
Pu 0.000 0.000 4.755
In 1.994 1.994 3.120
Au 1.994 1.994 0.000

---

11
Lattice="-2.838 2.838 8.003 2.838 -2.838 8.003 2.838 2.838 -8.003" Properties=species:S:1:pos:R:3 comment="PuPa6Ga4 (PBE-GGA, relaxed)" e_tot_ev_per_atom=-7.577 space_group="I-42m, No. 121" pbc="T T T"
Pu 0.000 0.000 0.000
Pa 2.838 0.000 0.000
Pa 0.975 -0.975 2.861
Pa -0.975 0.975 2.861
Pa 0.000 2.838 0.000
Pa 1.862 1.862 5.143
Pa 0.975 0.975 13.146
Ga 0.955 -0.955 5.866
Ga 1.883 1.883 2.137
Ga -0.955 0.955 5.866
Ga 0.955 0.955 10.141

---

16
Lattice="0.000 6.452 12.492 3.088 0.000 12.492 3.088 6.452 0.000" Properties=species:S:1:pos:R:3 comment="Rb2SrAsO4 (PBE-GGA, relaxed)" e_tot_ev_per_atom=-5.028 space_group="Fddd, No. 70" pbc="T T T"
Rb 2.316 4.839 1.591
Rb 3.860 8.065 7.838
Rb 2.316 4.839 17.147
Rb 3.860 8.065 23.393
Sr 0.772 1.613 3.123
Sr 5.404 11.291 21.861
As 2.316 4.839 9.369
As 3.860 8.065 15.615
O 3.396 3.783 8.476
O 3.396 5.895 10.262
O 4.940 7.009 16.508
O 4.940 9.121 14.722
O 1.236 3.783 10.262
O 1.236 5.895 8.476
O 2.780 7.009 14.722
O 2.780 9.121 16.508

---

16
Lattice="7.031 0.000 0.000 0.000 7.031 0.000 0.000 0.000 7.031" Properties=species:S:1:pos:R:3 comment="TbPuCoAg (PBE-GGA, relaxed)" e_tot_ev_per_atom=-7.184 space_group="F-43m, No. 216" pbc="T T T"
Tb 0.000 0.000 0.000
Tb 0.000 3.515 3.515
Tb 3.515 0.000 3.515
Tb 3.515 3.515 0.000
Pu 0.000 0.000 3.515
Pu 0.000 3.515 0.000
Pu 3.515 0.000 0.000
Pu 3.515 3.515 3.515
Co 1.758 1.758 1.758
Co 1.758 5.273 5.273
Co 5.273 1.758 5.273
Co 5.273 5.273 1.758
Ag 1.758 1.758 5.273
Ag 1.758 5.273 1.758
Ag 5.273 1.758 1.758
Ag 5.273 5.273 5.273

---

5
Lattice="3.824 0.000 0.000 0.000 3.824 0.000 0.000 0.000 4.361" Properties=species:S:1:pos:R:3 comment="ZnMoHPd2 (PBE-GGA, relaxed)" de_polymorph_mev_per_atom=142 space_group="P4/mmm, No. 123" pbc="T T T"
Zn 0.000 0.000 0.000
Mo 1.912 1.912 0.000
H 0.000 0.000 2.180
Pd 0.000 1.912 2.180
Pd 1.912 0.000 2.180

---

5
Lattice="4.829 0.000 0.000 0.000 4.829 0.000 0.000 0.000 4.829" Properties=species:S:1:pos:R:3 comment="HfCr3Hg (PBE-GGA, relaxed)" de_polymorph_mev_per_atom=0 space_group="Pm-3m, No. 221" pbc="T T T"
Hf 0.000 0.000 0.000
Cr 0.000 0.000 2.414
Cr 0.000 2.414 0.000
Cr 2.414 0.000 0.000
Hg 2.414 2.414 2.414